Entry from the Alexandria database: KTl4I5 after structural relaxation (GGA-PBE).

Cell and atoms, written as extended XYZ:
```
10
Lattice="-2.512 3.549 12.565 2.512 -3.549 12.565 2.512 3.549 -12.565" Properties=species:S:1:pos:R:3 pbc="T T T"
K 0.000 0.000 0.000
Tl 0.000 0.000 5.050
Tl 0.000 0.000 10.052
Tl 0.000 0.000 15.079
Tl 0.000 0.000 20.081
I 2.512 0.000 2.526
I 2.512 0.000 7.553
I 0.000 3.549 0.000
I 0.000 3.549 5.012
I 0.000 3.549 10.040
```

Values from the calculation:
Density of states at the Fermi level, states/eV/f.u.: 0.000
Spin magnetization, μB per cell: 0.00
V, Å³ per cell: 448.03
DFT total energy, eV per cell: -26.60
Formation energy from raw total energies, meV per atom: -829